Compound: SbMoI2O
Source: Alexandria
Functional: GGA+U
Structure: optimized geometry

Lattice parameters (Å, degrees): 5.360 5.360 5.301 90.00 90.00 90.00
Atoms (fractional coordinates):
Sb (0.000, 0.000, 0.000)
Mo (0.000, 0.000, 0.500)
I (0.000, 0.500, 0.500)
I (0.500, 0.000, 0.500)
O (0.500, 0.500, 0.000)

space-group type	P4/mmm, No. 123
ΔE to the lowest computed polymorph	1352	meV/atom
crystal system	tetragonal
total energy	-0.1939	Ry/atom